This record from Alexandria via LeMat-Bulk describes an optimized crystal structure of ZnBi2Au7. The functional is PBE.

The structure in POSCAR format:
```
ZnBi2Au7
1.0
0.0000 4.9768 4.9768
4.9768 0.0000 4.9768
4.9768 4.9768 0.0000
Zn Bi Au
1 2 7
direct
0.0000 0.0000 0.0000
0.2500 0.2500 0.2500
0.7500 0.7500 0.7500
0.2408 0.2408 0.7592
0.2408 0.7592 0.2408
0.2408 0.7592 0.7592
0.5000 0.5000 0.5000
0.7592 0.2408 0.2408
0.7592 0.2408 0.7592
0.7592 0.7592 0.2408
```

Computed properties:
Energy of formation ... 0.393 eV/atom
SG ... No. 225
Calculated volume ... 24.65 A^3/atom
Crystal system ... cubic

This record from Alexandria via LeMat-Bulk describes an optimized crystal structure of Zn2BiAu2. The functional is PBE.

The structure in POSCAR format:
```
Zn2BiAu2
1.0
7.9215 0.0000 0.0000
0.0000 7.9215 0.0000
0.0000 0.0000 3.1091
Zn Bi Au
4 2 4
direct
0.1570 0.3430 0.0000
0.3430 0.8430 0.0000
0.6570 0.1570 0.0000
0.8430 0.6570 0.0000
0.0000 0.0000 0.5000
0.5000 0.5000 0.5000
0.1371 0.6371 0.5000
0.3629 0.1371 0.5000
0.6371 0.8629 0.5000
0.8629 0.3629 0.5000
```

Computed properties:
Energy of formation ... -0.073 eV/atom
SG ... No. 127
ΔE to the lowest computed polymorph ... 39.0 meV per atom
Calculated volume ... 19.51 A^3/atom
Crystal system ... tetragonal

This record from Alexandria via LeMat-Bulk describes an optimized crystal structure of ZnBiAu4. The functional is PBE.

The structure in POSCAR format:
```
ZnBiAu4
1.0
0.0000 3.9618 3.9618
3.9618 0.0000 3.9618
3.9618 3.9618 0.0000
Zn Bi Au
1 1 4
direct
0.0000 0.0000 0.0000
0.7500 0.7500 0.7500
0.3745 0.3745 0.3745
0.3745 0.3745 0.8764
0.3745 0.8764 0.3745
0.8764 0.3745 0.3745
```

Computed properties:
Energy of formation ... 0.065 eV/atom
SG ... No. 216
ΔE to the lowest computed polymorph ... 99.9 meV per atom
Calculated volume ... 20.73 A^3/atom
Crystal system ... cubic

This record from Alexandria via LeMat-Bulk describes an optimized crystal structure of ZnBiAu4. The functional is PBE.

The structure in POSCAR format:
```
ZnBiAu4
1.0
4.0344 0.0000 0.0000
0.0000 4.0344 0.0000
0.0000 0.0000 8.1130
Zn Bi Au
1 1 4
direct
0.0000 0.0000 0.0000
0.5000 0.5000 0.5000
0.0000 0.5000 0.2153
0.0000 0.5000 0.7847
0.5000 0.0000 0.2153
0.5000 0.0000 0.7847
```

Computed properties:
Energy of formation ... -0.008 eV/atom
SG ... No. 123
ΔE to the lowest computed polymorph ... 26.3 meV per atom
Calculated volume ... 22.01 A^3/atom
Crystal system ... tetragonal

This record from Alexandria via LeMat-Bulk describes an optimized crystal structure of Zn4BiAu. The functional is PBE.

The structure in POSCAR format:
```
Zn4BiAu
1.0
0.0000 3.8046 3.8046
3.8046 0.0000 3.8046
3.8046 3.8046 0.0000
Zn Bi Au
4 1 1
direct
0.3757 0.3757 0.3757
0.3757 0.3757 0.8728
0.3757 0.8728 0.3757
0.8728 0.3757 0.3757
0.0000 0.0000 0.0000
0.7500 0.7500 0.7500
```

Computed properties:
Energy of formation ... 0.071 eV/atom
SG ... No. 216
Calculated volume ... 18.36 A^3/atom
Crystal system ... cubic

This record from Alexandria via LeMat-Bulk describes an optimized crystal structure of ZnBiAu. The functional is PBE.

The structure in POSCAR format:
```
ZnBiAu
1.0
-1.6887 1.6887 5.7853
1.6887 -1.6887 5.7853
1.6887 1.6887 -5.7853
Zn Bi Au
1 1 1
direct
0.0000 0.0000 0.0000
0.6982 0.6982 0.0000
0.3965 0.3965 0.0000
```

Computed properties:
Energy of formation ... 0.026 eV/atom
SG ... No. 107
Calculated volume ... 22.00 A^3/atom
Crystal system ... tetragonal

This record from Alexandria via LeMat-Bulk describes an optimized crystal structure of Zn3BiAu. The functional is PBE.

The structure in POSCAR format:
```
Zn3BiAu
1.0
4.9244 0.0000 0.0000
0.0000 4.9244 0.0000
0.0000 0.0000 4.9244
Zn Bi Au
3 1 1
direct
0.0000 0.0000 0.5000
0.0000 0.5000 0.0000
0.5000 0.0000 0.0000
0.5000 0.5000 0.5000
0.0000 0.0000 0.0000
```

Computed properties:
Energy of formation ... 0.205 eV/atom
SG ... No. 221
ΔE to the lowest computed polymorph ... 0.0 meV per atom
Calculated volume ... 23.88 A^3/atom
Crystal system ... cubic

This record from Alexandria via LeMat-Bulk describes an optimized crystal structure of ZnBiAu. The functional is PBE.

The structure in POSCAR format:
```
ZnBiAu
1.0
4.4698 0.0000 0.0000
-2.2349 3.8710 0.0000
0.0000 0.0000 3.9163
Zn Bi Au
1 1 1
direct
0.0000 0.0000 0.0000
0.3333 0.6667 0.4816
0.6667 0.3333 0.9415
```

Computed properties:
Energy of formation ... -0.008 eV/atom
SG ... No. 156
Calculated volume ... 22.59 A^3/atom
Crystal system ... trigonal

This record from Alexandria via LeMat-Bulk describes an optimized crystal structure of Zn2BiAu2. The functional is PBE.

The structure in POSCAR format:
```
Zn2BiAu2
1.0
7.9586 0.0000 0.0000
0.0000 7.9586 0.0000
0.0000 0.0000 3.0644
Zn Bi Au
4 2 4
direct
0.1250 0.3750 0.0000
0.3750 0.8750 0.0000
0.6250 0.1250 0.0000
0.8750 0.6250 0.0000
0.0000 0.0000 0.0000
0.5000 0.5000 0.0000
0.1664 0.6664 0.5000
0.3336 0.1664 0.5000
0.6664 0.8336 0.5000
0.8336 0.3336 0.5000
```

Computed properties:
Energy of formation ... -0.038 eV/atom
SG ... No. 127
ΔE to the lowest computed polymorph ... 73.9 meV per atom
Calculated volume ... 19.41 A^3/atom
Crystal system ... tetragonal

This record from Alexandria via LeMat-Bulk describes an optimized crystal structure of ZnBiAu6. The functional is PBE.

The structure in POSCAR format:
```
ZnBiAu6
1.0
4.2651 0.0000 0.0000
0.0000 4.2651 0.0000
0.0000 0.0000 8.4284
Zn Bi Au
1 1 6
direct
0.0000 0.0000 0.0000
0.0000 0.0000 0.5000
0.0000 0.5000 0.2281
0.0000 0.5000 0.7719
0.5000 0.0000 0.2281
0.5000 0.0000 0.7719
0.5000 0.5000 0.0000
0.5000 0.5000 0.5000
```

Computed properties:
Energy of formation ... -0.014 eV/atom
SG ... No. 123
Calculated volume ... 19.17 A^3/atom
Crystal system ... tetragonal

This record from Alexandria via LeMat-Bulk describes an optimized crystal structure of Zn2BiAu2. The functional is PBE.

The structure in POSCAR format:
```
Zn2BiAu2
1.0
-2.0176 2.0176 6.1758
2.0176 -2.0176 6.1758
2.0176 2.0176 -6.1758
Zn Bi Au
2 1 2
direct
0.1018 0.1018 0.0000
0.8982 0.8982 0.0000
0.5000 0.5000 0.0000
0.2500 0.7500 0.5000
0.7500 0.2500 0.5000
```

Computed properties:
Energy of formation ... -0.012 eV/atom
SG ... No. 139
ΔE to the lowest computed polymorph ... 99.7 meV per atom
Calculated volume ... 20.11 A^3/atom
Crystal system ... tetragonal

This record from Alexandria via LeMat-Bulk describes an optimized crystal structure of Zn2BiAu2. The functional is PBE.

The structure in POSCAR format:
```
Zn2BiAu2
1.0
-1.9570 1.9570 6.5729
1.9570 -1.9570 6.5729
1.9570 1.9570 -6.5729
Zn Bi Au
2 1 2
direct
0.2500 0.7500 0.5000
0.7500 0.2500 0.5000
0.0000 0.0000 0.0000
0.3879 0.3879 0.0000
0.6121 0.6121 0.0000
```

Computed properties:
Energy of formation ... -0.112 eV/atom
SG ... No. 139
ΔE to the lowest computed polymorph ... 0.0 meV per atom
Calculated volume ... 20.14 A^3/atom
Crystal system ... tetragonal

This record from Alexandria via LeMat-Bulk describes an optimized crystal structure of ZnBiAu4. The functional is PBE.

The structure in POSCAR format:
```
ZnBiAu4
1.0
3.5137 0.0000 0.0000
0.0000 3.5137 0.0000
0.0000 0.0000 9.5624
Zn Bi Au
1 1 4
direct
0.0000 0.0000 0.0000
0.5000 0.5000 0.5000
0.0000 0.0000 0.3010
0.0000 0.0000 0.6990
0.5000 0.5000 0.1457
0.5000 0.5000 0.8543
```

Computed properties:
Energy of formation ... -0.034 eV/atom
SG ... No. 123
ΔE to the lowest computed polymorph ... 0.0 meV per atom
Calculated volume ... 19.68 A^3/atom
Crystal system ... tetragonal

This record from Alexandria via LeMat-Bulk describes an optimized crystal structure of ZnBiAu. The functional is PBE.

The structure in POSCAR format:
```
ZnBiAu
1.0
3.7670 -2.1650 0.0000
3.7670 2.1650 0.0000
-2.4956 0.0000 8.8752
Zn Bi Au
2 2 2
direct
0.1975 0.1975 0.0977
0.8025 0.8025 0.9023
0.3799 0.3799 0.6370
0.6201 0.6201 0.3630
0.1022 0.1022 0.8033
0.8978 0.8978 0.1967
```

Computed properties:
Energy of formation ... -0.067 eV/atom
SG ... No. 12
Calculated volume ... 24.13 A^3/atom
Crystal system ... monoclinic

This record from Alexandria via LeMat-Bulk describes an optimized crystal structure of ZnBiAu. The functional is PBE.

The structure in POSCAR format:
```
ZnBiAu
1.0
3.4750 0.0000 0.0000
0.0000 4.2077 0.0000
-1.7246 0.0000 9.3646
Zn Bi Au
2 2 2
direct
0.0666 0.2500 0.1344
0.9334 0.7500 0.8656
0.1836 0.7500 0.3719
0.8164 0.2500 0.6281
0.4474 0.2500 0.8922
0.5526 0.7500 0.1078
```

Computed properties:
Energy of formation ... -0.064 eV/atom
SG ... No. 11
Calculated volume ... 22.82 A^3/atom
Crystal system ... monoclinic

This record from Alexandria via LeMat-Bulk describes an optimized crystal structure of Zn2BiAu4. The functional is PBE.

The structure in POSCAR format:
```
Zn2BiAu4
1.0
2.9397 -3.6489 0.0000
2.9397 3.6489 0.0000
-0.5039 0.0000 13.0867
Zn Bi Au
4 2 8
direct
0.0711 0.2429 0.0671
0.2429 0.0711 0.5671
0.7571 0.9289 0.4329
0.9289 0.7571 0.9329
0.2433 0.7567 0.2500
0.7567 0.2433 0.7500
0.0000 0.5000 0.5000
0.1652 0.8348 0.7500
0.3275 0.4380 0.8895
0.4380 0.3275 0.3895
0.5000 0.0000 0.0000
0.5619 0.6725 0.6105
0.6725 0.5619 0.1105
0.8348 0.1652 0.2500
```

Computed properties:
Energy of formation ... -0.049 eV/atom
SG ... No. 15
Calculated volume ... 20.05 A^3/atom
Crystal system ... monoclinic

This record from Alexandria via LeMat-Bulk describes an optimized crystal structure of Zn3BiAu3. The functional is PBE.

The structure in POSCAR format:
```
Zn3BiAu3
1.0
7.0599 0.0000 0.0000
0.0000 7.0599 0.0000
0.0000 0.0000 7.0599
Zn Bi Au
6 2 6
direct
0.0000 0.2500 0.5000
0.0000 0.7500 0.5000
0.2500 0.5000 0.0000
0.5000 0.0000 0.2500
0.5000 0.0000 0.7500
0.7500 0.5000 0.0000
0.0000 0.0000 0.0000
0.5000 0.5000 0.5000
0.0000 0.5000 0.2500
0.0000 0.5000 0.7500
0.2500 0.0000 0.5000
0.5000 0.2500 0.0000
0.5000 0.7500 0.0000
0.7500 0.0000 0.5000
```

Computed properties:
Energy of formation ... 0.264 eV/atom
SG ... No. 223
Calculated volume ... 25.13 A^3/atom
Crystal system ... cubic

This record from Alexandria via LeMat-Bulk describes an optimized crystal structure of Zn6BiAu12. The functional is PBE.

The structure in POSCAR format:
```
Zn6BiAu12
1.0
6.0116 3.4708 2.8881
-6.0116 3.4708 2.8881
0.0000 -6.9416 2.8881
Zn Bi Au
6 1 12
direct
0.2906 0.2906 0.6931
0.2906 0.6931 0.2906
0.3069 0.7094 0.7094
0.6931 0.2906 0.2906
0.7094 0.3069 0.7094
0.7094 0.7094 0.3069
0.0000 0.0000 0.0000
0.1186 0.5000 0.8814
0.1186 0.8814 0.5000
0.1220 0.3712 0.3712
0.3712 0.1220 0.3712
0.3712 0.3712 0.1220
0.5000 0.1186 0.8814
0.5000 0.8814 0.1186
0.6288 0.6288 0.8780
0.6288 0.8780 0.6288
0.8780 0.6288 0.6288
0.8814 0.1186 0.5000
0.8814 0.5000 0.1186
```

Computed properties:
Energy of formation ... -0.072 eV/atom
SG ... No. 166
Calculated volume ... 19.03 A^3/atom
Crystal system ... trigonal

This record from Alexandria via LeMat-Bulk describes an optimized crystal structure of ZrBi2Au. The functional is PBE.

The structure in POSCAR format:
```
ZrBi2Au
1.0
0.0000 3.6868 3.6868
3.6868 0.0000 3.6868
3.6868 3.6868 0.0000
Zr Bi Au
1 2 1
direct
0.0000 0.0000 0.0000
0.2500 0.2500 0.2500
0.7500 0.7500 0.7500
0.5000 0.5000 0.5000
```

Computed properties:
Energy of formation ... 0.092 eV/atom
SG ... No. 225
Calculated volume ... 25.06 A^3/atom
Crystal system ... cubic

This record from Alexandria via LeMat-Bulk describes an optimized crystal structure of ZrBi2Au. The functional is PBE.

The structure in POSCAR format:
```
ZrBi2Au
1.0
4.9728 0.0000 0.0000
0.0000 4.9728 0.0000
0.0000 0.0000 3.9110
Zr Bi Au
1 2 1
direct
0.0000 0.0000 0.0000
0.0000 0.5000 0.5000
0.5000 0.0000 0.5000
0.5000 0.5000 0.0000
```

Computed properties:
Energy of formation ... -0.150 eV/atom
SG ... No. 123
Calculated volume ... 24.18 A^3/atom
Crystal system ... tetragonal